Entry w
## CrFe2N3 (GGA-PBE)

Data for a relaxed structure of CrFe2N3. Values from VASP.

Geometry as Quantum ESPRESSO input:
```
&SYSTEM
  ibrav = 0, nat = 24, ntyp = 3
/
ATOMIC_SPECIES
Fe 55.84 Fe.upf
N 14.01 N.upf
Cr 52.00 Cr.upf
CELL_PARAMETERS angstrom
-2.3098 -3.4934 -2.8442
1.5095 -1.2252 4.6743
-9.0164 1.4267 4.1499
ATOMIC_POSITIONS crystal
Fe 0.9700 0.7239 0.4498
Fe 0.7239 0.9700 0.9498
Fe 0.4038 0.0985 0.6862
Fe 0.0300 0.2761 0.5502
Fe 0.9015 0.5962 0.8138
Fe 0.5962 0.9015 0.3138
Fe 0.2761 0.0300 0.0502
Fe 0.0985 0.4038 0.1862
N 0.5403 0.2070 0.8729
N 0.2862 0.0816 0.5170
N 0.7930 0.4597 0.6271
N 0.0205 0.9795 0.2500
N 0.7138 0.9184 0.4830
N 0.2070 0.5403 0.3729
N 0.3024 0.6976 0.7500
N 0.6976 0.3024 0.2500
N 0.9795 0.0205 0.7500
N 0.0816 0.2862 0.0170
N 0.9184 0.7138 0.9830
N 0.4597 0.7930 0.1271
Cr 0.6565 0.7487 0.6550
Cr 0.2513 0.3435 0.8450
Cr 0.7487 0.6565 0.1550
Cr 0.3435 0.2513 0.3450
```

Calculated values
density	6.167	Mg/m³
SG	C2/c (15)

***

Entry x
## CrFe2N3 (GGA-PBE)

Data for a relaxed structure of CrFe2N3. Values from VASP.

Geometry as Quantum ESPRESSO input:
```
&SYSTEM
  ibrav = 0, nat = 12, ntyp = 3
/
ATOMIC_SPECIES
N 14.01 N.upf
Cr 52.00 Cr.upf
Fe 55.84 Fe.upf
CELL_PARAMETERS angstrom
-2.3771 -1.4116 -4.4321
-0.8424 -2.5611 4.4741
-3.7078 3.0158 1.0282
ATOMIC_POSITIONS crystal
N 0.0055 0.7111 0.8448
N 0.9945 0.2889 0.3448
N 0.6712 0.6712 0.4037
N 0.2889 0.9945 0.3448
N 0.7111 0.0055 0.8448
N 0.3288 0.3288 0.9037
Cr 0.6703 0.6703 0.0262
Cr 0.3297 0.3297 0.5262
Fe 0.9950 0.6162 0.4763
Fe 0.3838 0.0050 0.9763
Fe 0.6162 0.9950 0.4763
Fe 0.0050 0.3838 0.9763
```

Calculated values
density	5.999	Mg/m³
SG	Cmc2_1 (36)

***

Verdict on stability: entry w comes out at the bottom.

***

Entry w
## CrFeS2N (GGA-PBE)

Data for a relaxed structure of CrFeS2N. Values from VASP.

Geometry as Quantum ESPRESSO input:
```
&SYSTEM
  ibrav = 0, nat = 5, ntyp = 4
/
ATOMIC_SPECIES
S 32.06 S.upf
Fe 55.84 Fe.upf
N 14.01 N.upf
Cr 52.00 Cr.upf
CELL_PARAMETERS angstrom
4.1276 0.0000 0.0000
0.0000 4.5127 0.0000
0.0000 0.0000 4.1276
ATOMIC_POSITIONS crystal
S 0.0000 0.0000 0.5000
S 0.5000 0.0000 0.0000
Fe 0.0000 0.0000 0.0000
N 0.5000 0.5000 0.5000
Cr 0.0000 0.5000 0.0000
```

Calculated values
density	4.017	Mg/m³
SG	P4/mmm (123)

***

Entry x
## CrFeS2N (GGA-PBE)

Data for a relaxed structure of CrFeS2N. Values from VASP.

Geometry as Quantum ESPRESSO input:
```
&SYSTEM
  ibrav = 0, nat = 5, ntyp = 4
/
ATOMIC_SPECIES
Cr 52.00 Cr.upf
N 14.01 N.upf
Fe 55.84 Fe.upf
S 32.06 S.upf
CELL_PARAMETERS angstrom
4.6183 0.0000 0.0000
0.0000 4.6183 0.0000
0.0000 0.0000 3.3909
ATOMIC_POSITIONS crystal
Cr 0.5000 0.5000 0.5000
N 0.0000 0.0000 0.5000
Fe 0.0000 0.0000 0.0000
S 0.0000 0.5000 0.0000
S 0.5000 0.0000 0.0000
```

Calculated values
density	4.270	Mg/m³
SG	P4/mmm (123)

***

Entry y
## CrFeS2N (GGA-PBE)

Data for a relaxed structure of CrFeS2N. Values from VASP.

Geometry as Quantum ESPRESSO input:
```
&SYSTEM
  ibrav = 0, nat = 5, ntyp = 4
/
ATOMIC_SPECIES
Cr 52.00 Cr.upf
S 32.06 S.upf
N 14.01 N.upf
Fe 55.84 Fe.upf
CELL_PARAMETERS angstrom
-1.2507 -4.4875 0.5639
2.9498 -1.2528 -3.4277
2.5434 -0.4147 2.3404
ATOMIC_POSITIONS crystal
Cr 0.0000 0.0000 0.0000
S 0.5000 0.0000 0.0000
S 0.0000 0.5000 0.0000
N 0.0000 0.0000 0.5000
Fe 0.5000 0.5000 0.5000
```

Calculated values
density	4.029	Mg/m³
SG	P4/mmm (123)

***

Verdict on stability: entry w comes out at the bottom.

***

Entry w
## CrFeSe2N (GGA-PBE)

Data for a relaxed structure of CrFeSe2N. Values from VASP.

Geometry as Quantum ESPRESSO input:
```
&SYSTEM
  ibrav = 0, nat = 5, ntyp = 4
/
ATOMIC_SPECIES
Se 78.96 Se.upf
N 14.01 N.upf
Cr 52.00 Cr.upf
Fe 55.84 Fe.upf
CELL_PARAMETERS angstrom
4.8870 0.0000 0.0000
0.0000 4.8870 0.0000
0.0000 0.0000 3.3884
ATOMIC_POSITIONS crystal
Se 0.5000 0.0000 0.0000
Se 0.0000 0.5000 0.0000
N 0.0000 0.0000 0.5000
Cr 0.5000 0.5000 0.5000
Fe 0.0000 0.0000 0.0000
```

Calculated values
density	5.741	Mg/m³
SG	P4/mmm (123)

***

Entry x
## CrFeSe2N (GGA-PBE)

Data for a relaxed structure of CrFeSe2N. Values from VASP.

Geometry as Quantum ESPRESSO input:
```
&SYSTEM
  ibrav = 0, nat = 5, ntyp = 4
/
ATOMIC_SPECIES
Se 78.96 Se.upf
Fe 55.84 Fe.upf
Cr 52.00 Cr.upf
N 14.01 N.upf
CELL_PARAMETERS angstrom
-1.5717 -4.5902 -0.4137
4.5484 -1.4742 -0.9225
0.5295 -0.4867 3.3884
ATOMIC_POSITIONS crystal
Se 0.5000 0.0000 0.0000
Se 0.0000 0.5000 0.0000
Fe 0.5000 0.5000 0.5000
Cr 0.0000 0.0000 0.0000
N 0.0000 0.0000 0.5000
```

Calculated values
density	5.656	Mg/m³
SG	P4/mmm (123)

***

Verdict on stability: entry x comes out at the bottom.

***

Entry w
## CrFeTe2N (GGA-PBE)

Data for a relaxed structure of CrFeTe2N. Values from VASP.

Geometry as Quantum ESPRESSO input:
```
&SYSTEM
  ibrav = 0, nat = 5, ntyp = 4
/
ATOMIC_SPECIES
N 14.01 N.upf
Fe 55.84 Fe.upf
Cr 52.00 Cr.upf
Te 127.60 Te.upf
CELL_PARAMETERS angstrom
5.1508 0.0000 0.0000
0.0000 5.1508 0.0000
0.0000 0.0000 3.3754
ATOMIC_POSITIONS crystal
N 0.0000 0.0000 0.5000
Fe 0.0000 0.0000 0.0000
Cr 0.5000 0.5000 0.5000
Te 0.5000 0.0000 0.0000
Te 0.0000 0.5000 0.0000
```

Calculated values
density	6.991	Mg/m³
SG	P4/mmm (123)

***

Entry x
## CrFeTe2N (GGA-PBE)

Data for a relaxed structure of CrFeTe2N. Values from VASP.

Geometry as Quantum ESPRESSO input:
```
&SYSTEM
  ibrav = 0, nat = 5, ntyp = 4
/
ATOMIC_SPECIES
Fe 55.84 Fe.upf
Te 127.60 Te.upf
N 14.01 N.upf
Cr 52.00 Cr.upf
CELL_PARAMETERS angstrom
5.3189 0.0000 0.0000
0.0000 5.3189 0.0000
0.0000 0.0000 3.5052
ATOMIC_POSITIONS crystal
Fe 0.5000 0.5000 0.5000
Te 0.5000 0.0000 0.0000
Te 0.0000 0.5000 0.0000
N 0.0000 0.0000 0.5000
Cr 0.0000 0.0000 0.0000
```

Calculated values
density	6.314	Mg/m³
SG	P4/mmm (123)

***

Verdict on stability: entry w comes out at the bottom.